DFT (PBE-GGA) results for a relaxed CuAgSb4 crystal.

Lattice parameters (Å, degrees): 6.1625 6.1625 6.1625 60.00 60.00 60.00
Closest atoms and distances in Å follow each position.
Sites, in units of the cell vectors:
Sb: 0.3744 0.3744 0.3744  6 Sb 3.07-3.10
Sb: 0.3744 0.3744 0.8769  6 Sb 3.07-3.10
Sb: 0.8769 0.3744 0.3744  6 Sb 3.07-3.10
Sb: 0.3744 0.8769 0.3744  6 Sb 3.07-3.10
Ag: 0.7500 0.7500 0.7500  12 Sb 3.61, 4 Cu 3.77
Cu: 0.0000 0.0000 0.0000  12 Sb 3.61, 4 Ag 3.77

Properties
Uncorrected formation energy, eV/atom: 0.624
Total magnetization, μB per formula unit: 0.000
Crystal system: cubic

=====

DFT (PBE-GGA) results for a relaxed Ba3Ga2RuO8 crystal.

Lattice parameters (Å, degrees): 5.7868 5.7868 7.4921 90.00 90.00 120.00
Closest atoms and distances in Å follow each position.
Sites, in units of the cell vectors:
O: 0.8389 0.1611 0.6674  1 Ga 1.90, 1 Ru 2.04
O: 0.3222 0.1611 0.6674  1 Ga 1.90, 1 Ru 2.04
O: 0.6667 0.3333 0.0087  1 Ga 1.77
O: 0.3333 0.6667 0.9913  1 Ga 1.77
O: 0.1611 0.8389 0.3326  1 Ga 1.90, 1 Ru 2.04
O: 0.6778 0.8389 0.3326  1 Ga 1.90, 1 Ru 2.04
O: 0.1611 0.3222 0.3326  1 Ga 1.90, 1 Ru 2.04
O: 0.8389 0.6778 0.6674  1 Ga 1.90, 1 Ru 2.04
Ru: 0.0000 0.0000 0.5000  6 O 2.04
Ba: 0.0000 0.0000 0.0000  6 O 2.97
Ba: 0.3333 0.6667 0.6618  1 O 2.47
Ba: 0.6667 0.3333 0.3382  1 O 2.47
Ga: 0.6667 0.3333 0.7723  4 O 1.77-1.90
Ga: 0.3333 0.6667 0.2277  4 O 1.77-1.90

Properties
Uncorrected formation energy, eV/atom: -1.999
Total magnetization, μB per formula unit: 2.000
Crystal system: trigonal

=====

DFT (PBE-GGA) results for a relaxed AcTbTmAg crystal.

Lattice parameters (Å, degrees): 5.5454 5.5454 5.5454 60.00 60.00 60.00
Closest atoms and distances in Å follow each position.
Sites, in units of the cell vectors:
Tm: 0.7500 0.7500 0.7500  4 Ac 3.40, 4 Ag 3.40
Ac: 0.5000 0.5000 0.5000  4 Tb 3.40, 4 Tm 3.40
Tb: 0.2500 0.2500 0.2500  4 Ac 3.40, 4 Ag 3.40
Ag: 0.0000 0.0000 0.0000  4 Tb 3.40, 4 Tm 3.40

Properties
Total magnetization, μB per formula unit: 0.000
Crystal system: cubic
ΔE_f, eV per atom: 0.186

=====

DFT (PBE-GGA) results for a relaxed ScGePd2 crystal.

Lattice parameters (Å, degrees): 5.8596 5.8596 5.8596 56.90 150.30 132.64
Closest atoms and distances in Å follow each position.
Sites, in units of the cell vectors:
Sc: 0.0000 0.0000 0.0000  2 Pd 2.66, 4 Ge 2.79
Pd: 0.0000 0.2579 0.2579  1 Ge 2.49, 1 Sc 2.66
Pd: 0.0000 0.7421 0.7421  1 Ge 2.49, 1 Sc 2.66
Ge: 0.0000 0.5000 0.5000  2 Pd 2.49, 4 Sc 2.79

Properties
Total magnetization, μB per formula unit: 0.000
Crystal system: orthorhombic
ΔE_f, eV per atom: -0.277

=====

DFT (PBE-GGA) results for a relaxed LaTh4N5 crystal.

Lattice parameters (Å, degrees): 5.2056 6.3621 6.3621 80.36 65.85 65.85
Closest atoms and distances in Å follow each position.
Sites, in units of the cell vectors:
Th: 0.6020 0.5999 0.1982  6 N 2.51-2.61
Th: 0.8002 0.8018 0.5999  6 N 2.51-2.61
Th: 0.2019 0.1982 0.4001  6 N 2.51-2.61
Th: 0.4001 0.4001 0.8018  6 N 2.51-2.61
N: 0.8984 0.4137 0.7913  5 Th 2.51-2.61, 1 La 2.69
N: 0.1035 0.5863 0.2087  5 Th 2.51-2.61, 1 La 2.69
N: 0.3121 0.7913 0.5863  5 Th 2.51-2.61, 1 La 2.69
N: 0.6898 0.2087 0.4137  5 Th 2.51-2.61, 1 La 2.69
N: 0.5013 0.0000 0.0000  4 Th 2.59, 2 La 2.60
La: 0.0011 0.0000 0.0000  6 N 2.60-2.69

Properties
Uncorrected formation energy, eV/atom: -1.537
Total magnetization, μB per formula unit: 0.000
Crystal system: tetragonal

=====

DFT (PBE-GGA) results for a relaxed SrCe2SmSe4 crystal.

Lattice parameters (Å, degrees): 4.2262 7.4096 7.3587 70.88 90.00 90.00
Closest atoms and distances in Å follow each position.
Sites, in units of the cell vectors:
Se: 0.0000 0.2467 0.2565  3 Ce 2.98-3.03, 1 Sm 2.99, 2 Sr 3.04
Se: 0.5000 0.2507 0.7451  3 Ce 2.98-3.03, 2 Sm 2.99, 1 Sr 3.03
Se: 0.5000 0.7493 0.2549  3 Ce 2.98-3.03, 2 Sm 2.99, 1 Sr 3.03
Se: 0.0000 0.7533 0.7435  3 Ce 2.98-3.03, 1 Sm 2.99, 2 Sr 3.04
Sr: 0.5000 0.5000 0.0000  6 Se 3.03-3.04
Ce: 0.5000 0.0000 0.5000  6 Se 2.98
Ce: 0.0000 0.0000 0.0000  6 Se 3.03
Sm: 0.0000 0.5000 0.5000  6 Se 2.99

Properties
Uncorrected formation energy, eV/atom: -1.836
Total magnetization, μB per formula unit: 2.432
Crystal system: monoclinic

=====

Number 1: density 6.607 g/cm3, total DFT energy (no corrections) -3.282 eV/atom, volume 27.58 Å³ per atom. Number 2: density 5.965 g/cm3, total DFT energy (no corrections) -6.339 eV/atom, volume 15.52 Å³ per atom. Number 3: density 9.126 g/cm3, total DFT energy (no corrections) -3.829 eV/atom, volume 30.15 Å³ per atom. Number 4: density 7.535 g/cm3, total DFT energy (no corrections) -5.610 eV/atom, volume 18.21 Å³ per atom. Number 5: density 10.763 g/cm3, total DFT energy (no corrections) -9.161 eV/atom, volume 17.54 Å³ per atom. Number 6: density 6.361 g/cm3, total DFT energy (no corrections) -5.862 eV/atom, volume 27.22 Å³ per atom.